(1)
The following is a PBE calculation of a geometry-optimized Y2BN structure, from Alexandria via LeMat-Bulk.

Summary:
energy relative to the lowest polymorph listed for this composition	0.0	meV per atom
final energy	-7.398	eV per atom
formation energy (no corrections)	-0.416	eV/atom
symmetry	I-42d

a b c (Å): 6.310 6.310 5.840
angles (deg): 57.30 57.30 90.00
Sites, in units of the cell vectors:
Y (0.664, 0.125, 0.250)
Y (0.086, 0.625, 0.250)
Y (0.375, 0.336, 0.750)
Y (0.875, 0.914, 0.750)
B (0.500, 0.500, 0.000)
B (0.250, 0.750, 0.500)
N (0.000, 0.000, 0.000)
N (0.750, 0.250, 0.500)

(2)
The following is a PBE calculation of a geometry-optimized YB2N structure, from Alexandria via LeMat-Bulk.

Summary:
final energy	-6.489	eV per atom
formation energy (no corrections)	0.547	eV/atom
symmetry	I-42d

a b c (Å): 5.693 5.693 4.872
angles (deg): 54.25 54.25 90.00
Sites, in units of the cell vectors:
Y (0.000, 0.000, 0.000)
Y (0.750, 0.250, 0.500)
B (0.501, 0.125, 0.250)
B (0.249, 0.625, 0.250)
B (0.375, 0.499, 0.750)
B (0.875, 0.751, 0.750)
N (0.500, 0.500, 0.000)
N (0.250, 0.750, 0.500)

(3)
The following is a PBE calculation of a geometry-optimized YB3N3 structure, from Alexandria via LeMat-Bulk.

Summary:
final energy	-7.122	eV per atom
formation energy (no corrections)	0.231	eV/atom
symmetry	Pm-3n

a b c (Å): 4.803 4.803 4.803
angles (deg): 90.00 90.00 90.00
Sites, in units of the cell vectors:
Y (0.500, 0.500, 0.500)
Y (0.000, 0.000, 0.000)
B (0.250, 0.000, 0.500)
B (0.000, 0.500, 0.250)
B (0.500, 0.750, 0.000)
B (0.750, 0.000, 0.500)
B (0.000, 0.500, 0.750)
B (0.500, 0.250, 0.000)
N (0.000, 0.250, 0.500)
N (0.000, 0.750, 0.500)
N (0.500, 0.000, 0.750)
N (0.750, 0.500, 0.000)
N (0.500, 0.000, 0.250)
N (0.250, 0.500, 0.000)

(4)
The following is a PBE calculation of a geometry-optimized Y3BN structure, from Alexandria via LeMat-Bulk.

Summary:
energy relative to the lowest polymorph listed for this composition	0.0	meV per atom
final energy	-7.261	eV per atom
formation energy (no corrections)	-0.382	eV/atom
symmetry	Pm-3m

a b c (Å): 4.640 4.640 4.640
angles (deg): 90.00 90.00 90.00
Sites, in units of the cell vectors:
Y (0.000, 0.500, 0.000)
Y (0.000, 0.000, 0.500)
Y (0.500, 0.000, 0.000)
B (0.500, 0.500, 0.500)
N (0.000, 0.000, 0.000)

(5)
The following is a PBE calculation of a geometry-optimized YB6N6 structure, from Alexandria via LeMat-Bulk.

Summary:
final energy	-7.650	eV per atom
formation energy (no corrections)	-0.229	eV/atom
symmetry	Pm-3

a b c (Å): 4.649 4.649 4.649
angles (deg): 90.00 90.00 90.00
Sites, in units of the cell vectors:
Y (0.500, 0.500, 0.500)
B (0.261, 0.000, 0.500)
B (0.000, 0.500, 0.261)
B (0.500, 0.739, 0.000)
B (0.739, 0.000, 0.500)
B (0.000, 0.500, 0.739)
B (0.500, 0.261, 0.000)
N (0.000, 0.251, 0.500)
N (0.000, 0.749, 0.500)
N (0.500, 0.000, 0.749)
N (0.749, 0.500, 0.000)
N (0.500, 0.000, 0.251)
N (0.251, 0.500, 0.000)

(6)
The following is a PBE calculation of a geometry-optimized YB3N structure, from Alexandria via LeMat-Bulk.

Summary:
energy relative to the lowest polymorph listed for this composition	1870.9	meV per atom
final energy	-3.650	eV per atom
formation energy (no corrections)	3.315	eV/atom
symmetry	Pm-3m

a b c (Å): 4.871 4.871 4.871
angles (deg): 90.00 90.00 90.00
Last column: magnetic moment on the atom in μB.
Sites, in units of the cell vectors:
Y (0.000, 0.000, 0.000)  -0.21
B (0.000, 0.500, 0.000)  -0.14
B (0.000, 0.000, 0.500)  -0.14
B (0.500, 0.000, 0.000)  -0.18
N (0.500, 0.500, 0.500)  1.60